# PBE Ho3CdPt12, relaxed
# M_tot: 0.00 μB per cell
# energy: -100.48 eV per cell
# formation energy: -833.8 meV per atom
data_Ho3CdPt12
_chemical_formula_sum 'Ho3 Cd1 Pt12'
_cell_length_a 4.099
_cell_length_b 4.099
_cell_length_c 16.328
_cell_angle_alpha 90.00
_cell_angle_beta 90.00
_cell_angle_gamma 90.00
_symmetry_space_group_name_H-M 'P 4/m m m'
_symmetry_Int_Tables_number 123
_symmetry_space_group_name_Hall '-P 4 2'
loop_
_atom_site_label
_atom_site_type_symbol
_atom_site_fract_x
_atom_site_fract_y
_atom_site_fract_z
_atom_site_occupancy
Ho1 Ho 0.000 0.000 0.000 1
Ho2 Ho 0.000 0.000 0.252 1
Cd1 Cd 0.000 0.000 0.500 1
Pt1 Pt 0.000 0.500 0.126 1
Pt2 Pt 0.000 0.500 0.378 1
Pt3 Pt 0.500 0.500 0.000 1
Pt4 Pt 0.500 0.500 0.252 1
Pt5 Pt 0.500 0.500 0.500 1

---

# PBE HoCdPt3, relaxed
# M_tot: 0.00 μB per cell
# energy: -52.02 eV per cell
# formation energy: -479.4 meV per atom
data_HoCdPt3
_chemical_formula_sum 'Ho2 Cd2 Pt6'
_cell_length_a 6.6043
_cell_length_b 6.6043
_cell_length_c 5.4282
_cell_angle_alpha 90.00
_cell_angle_beta 90.00
_cell_angle_gamma 120.00
_symmetry_space_group_name_H-M 'P 63/m m c'
_symmetry_Int_Tables_number 194
_symmetry_space_group_name_Hall '-P 6c 2c'
loop_
_atom_site_label
_atom_site_type_symbol
_atom_site_fract_x
_atom_site_fract_y
_atom_site_fract_z
_atom_site_occupancy
Ho1 Ho 0.3333 0.6667 0.2500 1
Cd1 Cd 0.0000 0.0000 0.0000 1
Pt1 Pt 0.2018 0.4036 0.7500 1

---

# PBE Ho6Cd2Pt, relaxed
# M_tot: 0.00 μB per cell
# energy: -76.32 eV per cell
# formation energy: -313.5 meV per atom
data_Ho6Cd2Pt
_chemical_formula_sum 'Ho12 Cd4 Pt2'
_cell_length_a 6.794
_cell_length_b 7.398
_cell_length_c 12.233
_cell_angle_alpha 90.00
_cell_angle_beta 121.66
_cell_angle_gamma 90.00
_symmetry_space_group_name_H-M 'P 1 21/c 1'
_symmetry_Int_Tables_number 14
loop_
_symmetry_equiv_pos_as_xyz
'x,y,z'
'-x,-y,-z'
'-x,y+1/2,-z+1/2'
'x,-y+1/2,z+1/2'
loop_
_atom_site_label
_atom_site_type_symbol
_atom_site_fract_x
_atom_site_fract_y
_atom_site_fract_z
_atom_site_occupancy
Ho1 Ho 0.130 0.007 0.245 1
Ho2 Ho 0.200 0.697 0.040 1
Ho3 Ho 0.358 0.177 0.044 1
Cd1 Cd 0.313 0.099 0.752 1
Pt1 Pt 0.500 0.000 0.500 1

---

# PBE HoCdPt, relaxed
# M_tot: 0.00 μB per cell
# energy: -13.57 eV per cell
# formation energy: -677.8 meV per atom
data_HoCdPt
_chemical_formula_sum 'Ho1 Cd1 Pt1'
_cell_length_a 4.6888
_cell_length_b 4.6888
_cell_length_c 3.4337
_cell_angle_alpha 90.00
_cell_angle_beta 90.00
_cell_angle_gamma 120.00
_symmetry_space_group_name_H-M 'P -6 m 2'
_symmetry_Int_Tables_number 187
_symmetry_space_group_name_Hall 'P -6 2'
loop_
_atom_site_label
_atom_site_type_symbol
_atom_site_fract_x
_atom_site_fract_y
_atom_site_fract_z
_atom_site_occupancy
Ho1 Ho 0.0000 0.0000 0.0000 1
Cd1 Cd 0.3333 0.6667 0.5000 1
Pt1 Pt 0.6667 0.3333 0.5000 1

---

# PBE HoCdPt6, relaxed
# M_tot: 0.00 μB per cell
# energy: -46.69 eV per cell
# formation energy: -619.6 meV per atom
data_HoCdPt6
_chemical_formula_sum 'Ho1 Cd1 Pt6'
_cell_length_a 4.079
_cell_length_b 4.079
_cell_length_c 8.144
_cell_angle_alpha 90.00
_cell_angle_beta 90.00
_cell_angle_gamma 90.00
_symmetry_space_group_name_H-M 'P 4/m m m'
_symmetry_Int_Tables_number 123
_symmetry_space_group_name_Hall '-P 4 2'
loop_
_atom_site_label
_atom_site_type_symbol
_atom_site_fract_x
_atom_site_fract_y
_atom_site_fract_z
_atom_site_occupancy
Ho1 Ho 0.000 0.000 0.000 1
Cd1 Cd 0.000 0.000 0.500 1
Pt1 Pt 0.000 0.500 0.254 1
Pt2 Pt 0.500 0.500 0.000 1
Pt3 Pt 0.500 0.500 0.500 1

---

# PBE HoCd4Pt2, relaxed
# M_tot: 0.00 μB per cell
# energy: -46.92 eV per cell
# formation energy: -448.6 meV per atom
data_HoCd4Pt2
_chemical_formula_sum 'Ho2 Cd8 Pt4'
_cell_length_a 4.321
_cell_length_b 18.381
_cell_length_c 3.758
_cell_angle_alpha 90.00
_cell_angle_beta 90.00
_cell_angle_gamma 90.00
_symmetry_space_group_name_H-M 'C m m m'
_symmetry_Int_Tables_number 65
_symmetry_space_group_name_Hall '-C 2 2'
loop_
_atom_site_label
_atom_site_type_symbol
_atom_site_fract_x
_atom_site_fract_y
_atom_site_fract_z
_atom_site_occupancy
Ho1 Ho 0.000 0.000 0.000 1
Cd1 Cd 0.000 0.167 0.500 1
Cd2 Cd 0.000 0.311 0.000 1
Pt1 Pt 0.000 0.430 0.500 1

---

# PBE Ho4CdPt, relaxed
# M_tot: 0.00 μB per cell
# distance to the lowest polymorph of the same formula: 0 meV per atom
# energy: -463.89 eV per cell
# formation energy: -621.1 meV per atom
data_Ho4CdPt
_chemical_formula_sum 'Ho64 Cd16 Pt16'
_cell_length_a 13.625
_cell_length_b 13.625
_cell_length_c 13.625
_cell_angle_alpha 90.00
_cell_angle_beta 90.00
_cell_angle_gamma 90.00
_symmetry_space_group_name_H-M 'F -4 3 m'
_symmetry_Int_Tables_number 216
_symmetry_space_group_name_Hall 'F -4 2 3'
loop_
_atom_site_label
_atom_site_type_symbol
_atom_site_fract_x
_atom_site_fract_y
_atom_site_fract_z
_atom_site_occupancy
Ho1 Ho 0.000 0.000 0.185 1
Ho2 Ho 0.060 0.250 0.250 1
Ho3 Ho 0.103 0.103 0.603 1
Cd1 Cd 0.168 0.168 0.832 1
Pt1 Pt 0.107 0.107 0.393 1

---

# PBE HoCdPt, relaxed
# M_tot: 0.00 μB per cell
# energy: -55.61 eV per cell
# formation energy: -789.6 meV per atom
data_HoCdPt
_chemical_formula_sum 'Ho4 Cd4 Pt4'
_cell_length_a 6.646
_cell_length_b 6.646
_cell_length_c 6.646
_cell_angle_alpha 90.00
_cell_angle_beta 90.00
_cell_angle_gamma 90.00
_symmetry_space_group_name_H-M 'F -4 3 m'
_symmetry_Int_Tables_number 216
_symmetry_space_group_name_Hall 'F -4 2 3'
loop_
_atom_site_label
_atom_site_type_symbol
_atom_site_fract_x
_atom_site_fract_y
_atom_site_fract_z
_atom_site_occupancy
Ho1 Ho 0.000 0.000 0.000 1
Cd1 Cd 0.000 0.000 0.500 1
Pt1 Pt 0.250 0.250 0.250 1

---

# PBE HoCd2Pt9, relaxed
# M_tot: 0.00 μB per cell
# distance to the lowest polymorph of the same formula: 38 meV per atom
# energy: -197.82 eV per cell
# formation energy: -430.5 meV per atom
data_HoCd2Pt9
_chemical_formula_sum 'Ho3 Cd6 Pt27'
_cell_length_a 5.3611
_cell_length_b 5.3611
_cell_length_c 26.3114
_cell_angle_alpha 90.00
_cell_angle_beta 90.00
_cell_angle_gamma 120.00
_symmetry_space_group_name_H-M 'R -3 m'
_symmetry_Int_Tables_number 166
_symmetry_space_group_name_Hall '-R 3 2"'
loop_
_atom_site_label
_atom_site_type_symbol
_atom_site_fract_x
_atom_site_fract_y
_atom_site_fract_z
_atom_site_occupancy
Ho1 Ho 0.0000 0.0000 0.0000 1
Cd1 Cd 0.0000 0.0000 0.1444 1
Pt1 Pt 0.0000 0.0000 0.3337 1
Pt2 Pt 0.0000 0.0000 0.5000 1
Pt3 Pt 0.0042 0.5021 0.9150 1

---

# PBE Ho4CdPt, relaxed
# M_tot: 0.00 μB per cell
# distance to the lowest polymorph of the same formula: 253 meV per atom
# energy: -54.95 eV per cell
# formation energy: -367.7 meV per atom
data_Ho4CdPt
_chemical_formula_sum 'Ho8 Cd2 Pt2'
_cell_length_a 7.327
_cell_length_b 7.065
_cell_length_c 6.972
_cell_angle_alpha 90.00
_cell_angle_beta 92.96
_cell_angle_gamma 90.00
_symmetry_space_group_name_H-M 'P 1 21/c 1'
_symmetry_Int_Tables_number 14
loop_
_symmetry_equiv_pos_as_xyz
'x,y,z'
'-x,-y,-z'
'-x,y+1/2,-z+1/2'
'x,-y+1/2,z+1/2'
loop_
_atom_site_label
_atom_site_type_symbol
_atom_site_fract_x
_atom_site_fract_y
_atom_site_fract_z
_atom_site_occupancy
Ho1 Ho 0.143 0.159 0.175 1
Ho2 Ho 0.325 0.643 0.123 1
Cd1 Cd 0.500 0.000 0.000 1
Pt1 Pt 0.000 0.000 0.500 1

---

# PBE Ho5CdPt2, relaxed
# M_tot: 0.01 μB per cell
# energy: -168.43 eV per cell
# formation energy: -777.7 meV per atom
data_Ho5CdPt2
_chemical_formula_sum 'Ho20 Cd4 Pt8'
_cell_length_a 7.857
_cell_length_b 7.857
_cell_length_c 13.273
_cell_angle_alpha 90.00
_cell_angle_beta 90.00
_cell_angle_gamma 90.00
_symmetry_space_group_name_H-M 'I 4/m c m'
_symmetry_Int_Tables_number 140
_symmetry_space_group_name_Hall '-I 4 2c'
loop_
_atom_site_label
_atom_site_type_symbol
_atom_site_fract_x
_atom_site_fract_y
_atom_site_fract_z
_atom_site_occupancy
Ho1 Ho 0.000 0.000 0.000 1
Ho2 Ho 0.160 0.340 0.136 1
Cd1 Cd 0.000 0.000 0.250 1
Pt1 Pt 0.137 0.363 0.500 1

---

# PBE Ho6Cd3Pt, relaxed
# M_tot: 0.00 μB per cell
# energy: -80.77 eV per cell
# formation energy: -413.2 meV per atom
data_Ho6Cd3Pt
_chemical_formula_sum 'Ho12 Cd6 Pt2'
_cell_length_a 9.069
_cell_length_b 5.254
_cell_length_c 11.524
_cell_angle_alpha 90.00
_cell_angle_beta 109.36
_cell_angle_gamma 90.00
_symmetry_space_group_name_H-M 'P 1 21/m 1'
_symmetry_Int_Tables_number 11
loop_
_symmetry_equiv_pos_as_xyz
'x,y,z'
'-x,-y,-z'
'-x,y+1/2,-z'
'x,-y+1/2,z'
loop_
_atom_site_label
_atom_site_type_symbol
_atom_site_fract_x
_atom_site_fract_y
_atom_site_fract_z
_atom_site_occupancy
Ho1 Ho 0.031 0.250 0.416 1
Ho2 Ho 0.175 0.750 0.168 1
Ho3 Ho 0.273 0.250 0.003 1
Ho4 Ho 0.354 0.750 0.831 1
Ho5 Ho 0.368 0.250 0.346 1
Ho6 Ho 0.397 0.250 0.642 1
Cd1 Cd 0.017 0.750 0.871 1
Cd2 Cd 0.095 0.250 0.718 1
Cd3 Cd 0.272 0.750 0.475 1
Pt1 Pt 0.446 0.750 0.099 1